1.
# PuZrAs, relaxed, DFT PBE
# calculated total energy = -9.55 eV/atom
# size of the total moment = 25.98 Bohr magnetons per cell
data_PuZrAs
_symmetry_space_group_name_H-M 'F -4 3 m'
_symmetry_Int_Tables_number 216
_symmetry_space_group_name_Hall 'F -4 2 3'
_cell_length_a 6.6417
_cell_length_b 6.6417
_cell_length_c 6.6417
_cell_angle_alpha 90.00
_cell_angle_beta 90.00
_cell_angle_gamma 90.00
loop_
_atom_site_label
_atom_site_type_symbol
_atom_site_fract_x
_atom_site_fract_y
_atom_site_fract_z
_atom_site_occupancy
Pu1 Pu 0.0000 0.0000 0.0000 1
Zr1 Zr 0.0000 0.0000 0.5000 1
As1 As 0.2500 0.2500 0.2500 1

---

2.
# ZnI2, relaxed, DFT PBE
# calculated total energy = -1.86 eV/atom
data_ZnI2
_symmetry_space_group_name_H-M 'P 42/m n m'
_symmetry_Int_Tables_number 136
_symmetry_space_group_name_Hall '-P 4n 2n'
_cell_length_a 7.1308
_cell_length_b 7.1308
_cell_length_c 4.0643
_cell_angle_alpha 90.00
_cell_angle_beta 90.00
_cell_angle_gamma 90.00
loop_
_atom_site_label
_atom_site_type_symbol
_atom_site_fract_x
_atom_site_fract_y
_atom_site_fract_z
_atom_site_occupancy
Zn1 Zn 0.0000 0.0000 0.0000 1
I1 I 0.1866 0.1866 0.5000 1

---

3.
# Sc4NiSN2, relaxed, DFT PBE
# calculated total energy = -7.88 eV/atom
# size of the total moment = 0.26 Bohr magnetons per cell
data_Sc4NiSN2
_symmetry_space_group_name_H-M 'P -6 m 2'
_symmetry_Int_Tables_number 187
_symmetry_space_group_name_Hall 'P -6 2'
_cell_length_a 3.2965
_cell_length_b 3.2965
_cell_length_c 12.2035
_cell_angle_alpha 90.00
_cell_angle_beta 90.00
_cell_angle_gamma 120.00
loop_
_atom_site_label
_atom_site_type_symbol
_atom_site_fract_x
_atom_site_fract_y
_atom_site_fract_z
_atom_site_occupancy
Sc1 Sc 0.0000 0.0000 0.1458 1
Sc2 Sc 0.6667 0.3333 0.3477 1
Ni1 Ni 0.0000 0.0000 0.5000 1
S1 S 0.6667 0.3333 0.0000 1
N1 N 0.3333 0.6667 0.2386 1

---

4.
# SiTcAs2, relaxed, DFT PBE
# calculated total energy = -5.86 eV/atom
# size of the total moment = 0.00 Bohr magnetons per cell
data_SiTcAs2
_symmetry_space_group_name_H-M 'F -4 3 m'
_symmetry_Int_Tables_number 216
_symmetry_space_group_name_Hall 'F -4 2 3'
_cell_length_a 6.3056
_cell_length_b 6.3056
_cell_length_c 6.3056
_cell_angle_alpha 90.00
_cell_angle_beta 90.00
_cell_angle_gamma 90.00
loop_
_atom_site_label
_atom_site_type_symbol
_atom_site_fract_x
_atom_site_fract_y
_atom_site_fract_z
_atom_site_occupancy
Si1 Si 0.0000 0.0000 0.0000 1
Tc1 Tc 0.2500 0.2500 0.7500 1
As1 As 0.0000 0.0000 0.5000 1
As2 As 0.2500 0.2500 0.2500 1